DFT (GGA-PBE) results for a geometry-optimized Tb3SbPt12 structure.

```
Tb3SbPt12
1.0
4.123 0.000 0.000
0.000 4.123 0.000
0.000 0.000 16.435
Pt Tb Sb
12 3 1
Direct
0.000 0.500 0.374 Pt
0.500 0.500 0.754 Pt
0.500 0.500 0.246 Pt
0.500 0.500 0.000 Pt
0.500 0.000 0.374 Pt
0.500 0.000 0.626 Pt
0.500 0.000 0.121 Pt
0.000 0.500 0.121 Pt
0.500 0.000 0.879 Pt
0.000 0.500 0.626 Pt
0.500 0.500 0.500 Pt
0.000 0.500 0.879 Pt
0.000 0.000 0.749 Tb
0.000 0.000 0.500 Tb
0.000 0.000 0.251 Tb
0.000 0.000 0.000 Sb
```

The value obtained for the total energy is -6.47 eV per atom. The value obtained for the calculated volume is 17.5 Å³ per atom. As for the density of states at the Fermi level: 0.729 states/eV/atom. The energy relative to the elements, uncorrected comes out at -816 meV/atom.